VASP calculation (PBE) on a relaxed MgSc3N crystal.

Cell lengths 20.1242, 5.3113, 8.5294 Å; angles 90.00, 155.23, 90.00 degrees
Closest atoms and distances in Å follow each position.
Fractional coordinates of all 20 atoms:
Sc: 0.1743 0.2652 0.5238  2 N 2.25-2.26
Sc: 0.8257 0.7348 0.4762  2 N 2.25-2.26
Sc: 0.3257 0.7652 0.9762  2 N 2.25-2.26
Sc: 0.6743 0.2348 0.0238  2 N 2.25-2.26
Sc: 0.2958 0.2746 0.1345  1 N 2.13
Sc: 0.7042 0.7254 0.8655  1 N 2.13
Sc: 0.2042 0.7746 0.3655  1 N 2.13
Sc: 0.7958 0.2254 0.6345  1 N 2.13
Sc: 0.5740 0.7600 0.2284  2 N 2.22-2.25
Sc: 0.4260 0.2400 0.7716  2 N 2.22-2.25
Sc: 0.9260 0.2600 0.2716  2 N 2.22-2.25
Sc: 0.0740 0.7400 0.7284  2 N 2.22-2.25
Mg: 0.4631 0.7581 0.6407  1 N 2.32
Mg: 0.5369 0.2419 0.3593  1 N 2.32
Mg: 0.0369 0.2581 0.8593  1 N 2.32
Mg: 0.9631 0.7419 0.1407  1 N 2.32
N: 0.1361 0.4993 0.6583  5 Sc 2.13-2.26, 1 Mg 2.32
N: 0.8639 0.5007 0.3417  5 Sc 2.13-2.26, 1 Mg 2.32
N: 0.3639 0.9993 0.8417  5 Sc 2.13-2.26, 1 Mg 2.32
N: 0.6361 0.0007 0.1583  5 Sc 2.13-2.26, 1 Mg 2.32

* calculated total energy: -6.406 eV per atom
* energy above the lowest structure with this stoichiometry: 0.165 eV per atom
* E_form (uncorrected): -0.62 eV/atom
* density: 3.01 g/cm3
* crystal system: monoclinic
* density of states at the Fermi level: 19.66 states/eV/cell

VASP calculation (PBE) on a relaxed MgSc3N crystal.

Cell lengths 5.3419, 6.4747, 5.5696 Å; angles 90.00, 93.26, 90.00 degrees
Closest atoms and distances in Å follow each position.
Fractional coordinates of all 10 atoms:
Sc: 0.2261 0.4971 0.8430  2 N 2.23
Sc: 0.7739 0.5029 0.1570  2 N 2.23
Sc: 0.2261 0.0029 0.8430  2 N 2.23
Sc: 0.7739 0.9971 0.1570  2 N 2.23
Sc: 0.2567 0.2500 0.3370  1 N 2.14
Sc: 0.7433 0.7500 0.6630  1 N 2.14
Mg: 0.7463 0.2500 0.6800  1 N 2.30
Mg: 0.2537 0.7500 0.3200  1 N 2.30
N: 0.0103 0.2500 0.0200  5 Sc 2.14-2.23, 1 Mg 2.30
N: 0.9897 0.7500 0.9800  5 Sc 2.14-2.23, 1 Mg 2.30

* calculated total energy: -6.422 eV per atom
* energy above the lowest structure with this stoichiometry: 0.148 eV per atom
* E_form (uncorrected): -0.64 eV/atom
* density: 2.99 g/cm3
* crystal system: monoclinic
* density of states at the Fermi level: 10.41 states/eV/cell

VASP calculation (PBE) on a relaxed MgSc3N crystal.

Cell lengths 3.1109, 8.5362, 8.5362 Å; angles 138.19, 90.00, 90.00 degrees
Closest atoms and distances in Å follow each position.
Fractional coordinates of all 5 atoms:
Sc: 0.5000 0.1809 0.3392  2 N 2.14
Sc: 0.5000 0.6608 0.8191  2 N 2.14
Sc: 0.0000 0.2754 0.7246  1 N 2.23
Mg: 0.5000 0.0957 0.9043  2 Mg 3.11, 4 Sc 3.21-3.26
N: 0.0000 0.4152 0.5848  5 Sc 2.14-2.23

* calculated total energy: -5.865 eV per atom
* energy above the lowest structure with this stoichiometry: 0.706 eV per atom
* E_form (uncorrected): -0.08 eV/atom
* density: 1.90 g/cm3
* crystal system: orthorhombic
* density of states at the Fermi level: 7.03 states/eV/cell

VASP calculation (PBE) on a relaxed MgSc3N crystal.

Cell lengths 5.5685, 10.7589, 3.2327 Å; angles 98.64, 90.00, 86.95 degrees
Closest atoms and distances in Å follow each position.
Fractional coordinates of all 10 atoms:
Sc: 0.8522 0.9840 0.0677  3 N 2.22-2.23
Sc: 0.6130 0.4802 0.8152  6 Mg 3.19-3.25, 6 Sc 3.23-3.39
Sc: 0.4942 0.2147 0.1830  3 N 2.22-2.24
Sc: 0.3447 0.9870 0.5692  3 N 2.22-2.24
Sc: 0.2256 0.7216 0.9368  6 Mg 3.19-3.25, 6 Sc 3.23-3.39
Sc: 0.9868 0.2177 0.6846  3 N 2.22-2.23
Mg: 0.1197 0.4702 0.3106  9 Sc 3.19-3.34, 3 Mg 3.23-3.47
Mg: 0.7190 0.7316 0.4416  9 Sc 3.19-3.33, 3 Mg 3.23-3.47
N: 0.1666 0.1049 0.1281  6 Sc 2.22-2.24
N: 0.6724 0.0968 0.6241  6 Sc 2.22-2.24

* calculated total energy: -6.544 eV per atom
* energy above the lowest structure with this stoichiometry: 0.026 eV per atom
* E_form (uncorrected): -0.76 eV/atom
* density: 3.01 g/cm3
* crystal system: monoclinic
* density of states at the Fermi level: 9.59 states/eV/cell

VASP calculation (PBE) on a relaxed MgSc3N crystal.

Cell lengths 5.5902, 5.5902, 5.5902 Å; angles 113.76, 113.76, 113.76 degrees
Closest atoms and distances in Å follow each position.
Fractional coordinates of all 5 atoms:
Sc: 0.7444 0.1243 0.7444  1 N 2.05
Sc: 0.1243 0.7444 0.7444  1 N 2.05
Sc: 0.7444 0.7444 0.1243  1 N 2.05
Mg: 0.3781 0.3781 0.3781  2 N 2.11-2.16
N: 0.8839 0.8839 0.8839  3 Sc 2.05, 2 Mg 2.11-2.16

* calculated total energy: -6.056 eV per atom
* energy above the lowest structure with this stoichiometry: 0.514 eV per atom
* E_form (uncorrected): -0.27 eV/atom
* density: 2.66 g/cm3
* crystal system: trigonal
* density of states at the Fermi level: 7.44 states/eV/cell

VASP calculation (PBE) on a relaxed MgSc3N crystal.

Cell lengths 3.9916, 3.9916, 15.5381 Å; angles 90.00, 90.00, 120.00 degrees
Closest atoms and distances in Å follow each position.
Fractional coordinates of all 10 atoms:
Sc: 0.0000 0.0000 0.2500  3 Mg 2.30
Sc: 0.0000 0.0000 0.7500  3 Mg 2.30
Sc: 0.3333 0.6667 0.9370  3 N 2.50
Sc: 0.3333 0.6667 0.5630  3 N 2.50
Sc: 0.6667 0.3333 0.4370  3 N 2.50
Sc: 0.6667 0.3333 0.0630  3 N 2.50
Mg: 0.3333 0.6667 0.7500  3 Sc 2.30
Mg: 0.6667 0.3333 0.2500  3 Sc 2.30
N: 0.0000 0.0000 0.0000  6 Sc 2.50
N: 0.0000 0.0000 0.5000  6 Sc 2.50

* calculated total energy: -5.164 eV per atom
* energy above the lowest structure with this stoichiometry: 1.406 eV per atom
* E_form (uncorrected): 0.62 eV/atom
* density: 2.68 g/cm3
* crystal system: hexagonal
* density of states at the Fermi level: 8.96 states/eV/cell

VASP calculation (PBE) on a relaxed MgSc3N crystal.

Cell lengths 16.3841, 5.7194, 5.7194 Å; angles 133.46, 143.18, 36.82 degrees
Closest atoms and distances in Å follow each position.
Fractional coordinates of all 10 atoms:
Sc: 0.1765 0.7150 0.2850  2 N 2.19-2.26
Sc: 0.8235 0.2850 0.7150  2 N 2.19-2.26
Sc: 0.9379 0.4236 0.5764  3 N 2.27-2.29
Sc: 0.0621 0.5764 0.4236  3 N 2.27-2.29
Sc: 0.3088 0.8210 0.1790  1 N 2.15
Sc: 0.6912 0.1790 0.8210  1 N 2.15
Mg: 0.5565 0.0709 0.9291  9 Sc 3.15-3.35, 3 Mg 3.23-3.25
Mg: 0.4435 0.9291 0.0709  9 Sc 3.15-3.35, 3 Mg 3.23-3.25
N: 0.9289 0.9497 0.0503  6 Sc 2.15-2.29
N: 0.0711 0.0503 0.9497  6 Sc 2.15-2.29

* calculated total energy: -6.510 eV per atom
* energy above the lowest structure with this stoichiometry: 0.060 eV per atom
* E_form (uncorrected): -0.73 eV/atom
* density: 3.01 g/cm3
* crystal system: monoclinic
* density of states at the Fermi level: 10.46 states/eV/cell

VASP calculation (PBE) on a relaxed MgScSeN2 crystal.

Cell lengths 4.0531, 4.0531, 5.6216 Å; angles 90.00, 90.00, 90.00 degrees
Closest atoms and distances in Å follow each position.
Fractional coordinates of all 5 atoms:
Sc: 0.0000 0.0000 0.0000  4 N 2.03
Mg: 0.5000 0.5000 0.5000  4 Se 2.87
Se: 0.0000 0.0000 0.5000  2 Sc 2.81, 4 Mg 2.87
N: 0.0000 0.5000 0.0000  2 Sc 2.03
N: 0.5000 0.0000 0.0000  2 Sc 2.03

* calculated total energy: -5.424 eV per atom
* energy above the lowest structure with this stoichiometry: 0.000 eV per atom
* E_form (uncorrected): 0.19 eV/atom
* density: 3.17 g/cm3
* crystal system: tetragonal
* density of states at the Fermi level: 2.39 states/eV/cell